(1)
BaNa2InF8, relaxed, DFT PBE-GGA; total magnetization = 1.14 μB per cell; energy relative to the elements, uncorrected = -2.700 eV/atom; E_tot = -54.664 eV/cell
1.0
4.837 0.028 -0.002
0.085 5.249 -0.005
0.004 0.008 7.751
F Na Ba In
8 2 1 1
direct
0.124 0.762 0.793
0.876 0.238 0.793
0.124 0.762 0.207
0.470 0.270 0.500
0.638 0.777 0.000
0.530 0.730 0.500
0.362 0.223 0.000
0.876 0.238 0.207
0.500 0.500 0.778
0.500 0.500 0.222
0.000 0.000 0.500
0.000 0.000 0.000


(2)
FeCoBr2, relaxed, DFT PBE-GGA; distance to the lowest polymorph of the same formula = 0.631 eV/atom; total magnetization = 5.03 μB per cell; energy relative to the elements, uncorrected = 0.613 eV/atom; E_tot = -16.464 eV/cell
1.0
6.555 0.021 0.000
4.536 4.732 0.000
-5.546 -2.376 2.563
Br Co Fe
2 1 1
direct
0.000 0.000 0.000
0.250 0.750 0.500
0.500 0.500 0.000
0.750 0.250 0.500